*1*
VASP calculation (meta-GGA SCAN) on a PBEsol-optimized structure of SrB2O4.

a b c (Å): 9.2177 9.2177 9.2177
angles (deg): 90.00 90.00 90.00
With the nearest neighbours (Å) after each atom.
Positions (direct):
Sr: 0.3707 0.1293 0.8707  9 O 2.52-2.60
Sr: 0.1293 0.8707 0.3707  9 O 2.52-2.60
Sr: 0.8707 0.3707 0.1293  9 O 2.52-2.60
Sr: 0.6293 0.6293 0.6293  9 O 2.52-2.60
Sr: 0.6293 0.8707 0.1293  9 O 2.52-2.60
Sr: 0.8707 0.1293 0.6293  9 O 2.52-2.60
Sr: 0.1293 0.6293 0.8707  9 O 2.52-2.60
Sr: 0.3707 0.3707 0.3707  9 O 2.52-2.60
Sr: 0.0000 0.5000 0.5000  12 O 2.73-2.95
Sr: 0.5000 0.5000 0.0000  12 O 2.73-2.95
Sr: 0.5000 0.0000 0.5000  12 O 2.73-2.95
Sr: 0.0000 0.0000 0.0000  12 O 2.73-2.95
B: 0.8121 0.8391 0.3864  4 O 1.47-1.50
B: 0.6136 0.1879 0.1609  4 O 1.47-1.50
B: 0.1136 0.3121 0.8391  4 O 1.47-1.50
B: 0.3864 0.6879 0.3391  4 O 1.47-1.50
B: 0.3121 0.8391 0.1136  4 O 1.47-1.50
B: 0.3391 0.3864 0.6879  4 O 1.47-1.50
B: 0.8391 0.1136 0.3121  4 O 1.47-1.50
B: 0.1879 0.1609 0.6136  4 O 1.47-1.50
B: 0.1609 0.6136 0.1879  4 O 1.47-1.50
B: 0.6879 0.3391 0.3864  4 O 1.47-1.50
B: 0.8121 0.6609 0.8864  4 O 1.47-1.50
B: 0.6609 0.8864 0.8121  4 O 1.47-1.50
B: 0.1136 0.1879 0.3391  4 O 1.47-1.50
B: 0.3391 0.1136 0.1879  4 O 1.47-1.50
B: 0.1879 0.3391 0.1136  4 O 1.47-1.50
B: 0.3121 0.6609 0.6136  4 O 1.47-1.50
B: 0.8391 0.3864 0.8121  4 O 1.47-1.50
B: 0.8864 0.8121 0.6609  4 O 1.47-1.50
B: 0.1609 0.8864 0.6879  4 O 1.47-1.50
B: 0.6609 0.6136 0.3121  4 O 1.47-1.50
B: 0.6879 0.1609 0.8864  4 O 1.47-1.50
B: 0.6136 0.3121 0.6609  4 O 1.47-1.50
B: 0.8864 0.6879 0.1609  4 O 1.47-1.50
B: 0.3864 0.8121 0.8391  4 O 1.47-1.50
O: 0.5926 0.2809 0.5031  2 B 1.49-1.50
O: 0.9074 0.7191 0.0031  2 B 1.49-1.50
O: 0.0031 0.9074 0.7191  2 B 1.49-1.50
O: 0.7191 0.0031 0.9074  2 B 1.49-1.50
O: 0.7809 0.9969 0.4074  2 B 1.49-1.50
O: 0.5031 0.5926 0.2809  2 B 1.49-1.50
O: 0.2809 0.5031 0.5926  2 B 1.49-1.50
O: 0.4969 0.0926 0.2191  2 B 1.49-1.50
O: 0.9969 0.4074 0.7809  2 B 1.49-1.50
O: 0.2191 0.4969 0.0926  2 B 1.49-1.50
O: 0.4074 0.7809 0.9969  2 B 1.49-1.50
O: 0.0926 0.2191 0.4969  2 B 1.49-1.50
O: 0.3255 0.2586 0.1157  2 B 1.47-1.50
O: 0.1157 0.3255 0.2586  2 B 1.47-1.50
O: 0.2586 0.1157 0.3255  2 B 1.47-1.50
O: 0.2414 0.8843 0.8255  2 B 1.47-1.50
O: 0.6157 0.1745 0.7414  2 B 1.47-1.50
O: 0.7414 0.6157 0.1745  2 B 1.47-1.50
O: 0.3843 0.6745 0.7586  2 B 1.47-1.50
O: 0.8843 0.8255 0.2414  2 B 1.47-1.50
O: 0.7586 0.3843 0.6745  2 B 1.47-1.50
O: 0.8255 0.2414 0.8843  2 B 1.47-1.50
O: 0.6745 0.7586 0.3843  2 B 1.47-1.50
O: 0.1745 0.7414 0.6157  2 B 1.47-1.50
O: 0.6745 0.7414 0.8843  2 B 1.47-1.50
O: 0.8843 0.6745 0.7414  2 B 1.47-1.50
O: 0.7414 0.8843 0.6745  2 B 1.47-1.50
O: 0.7586 0.1157 0.1745  2 B 1.47-1.50
O: 0.3843 0.8255 0.2586  2 B 1.47-1.50
O: 0.2586 0.3843 0.8255  2 B 1.47-1.50
O: 0.6157 0.3255 0.2414  2 B 1.47-1.50
O: 0.1157 0.1745 0.7586  2 B 1.47-1.50
O: 0.2414 0.6157 0.3255  2 B 1.47-1.50
O: 0.1745 0.7586 0.1157  2 B 1.47-1.50
O: 0.3255 0.2414 0.6157  2 B 1.47-1.50
O: 0.8255 0.2586 0.3843  2 B 1.47-1.50
O: 0.0926 0.2809 0.9969  2 B 1.49-1.50
O: 0.9969 0.0926 0.2809  2 B 1.49-1.50
O: 0.2809 0.9969 0.0926  2 B 1.49-1.50
O: 0.4074 0.7191 0.4969  2 B 1.49-1.50
O: 0.4969 0.4074 0.7191  2 B 1.49-1.50
O: 0.7191 0.4969 0.4074  2 B 1.49-1.50
O: 0.5031 0.9074 0.7809  2 B 1.49-1.50
O: 0.0031 0.5926 0.2191  2 B 1.49-1.50
O: 0.7809 0.5031 0.9074  2 B 1.49-1.50
O: 0.5926 0.2191 0.0031  2 B 1.49-1.50
O: 0.9074 0.7809 0.5031  2 B 1.49-1.50
O: 0.2191 0.0031 0.5926  2 B 1.49-1.50

*2*
VASP calculation (meta-GGA SCAN) on a PBEsol-optimized structure of SrB2O4.

a b c (Å): 4.3470 6.5559 11.9916
angles (deg): 90.00 90.00 90.00
With the nearest neighbours (Å) after each atom.
Positions (direct):
Sr: 0.2376 0.2500 0.0000  8 O 2.50-2.73
Sr: 0.2624 0.7500 0.5000  8 O 2.50-2.73
Sr: 0.7624 0.7500 0.0000  8 O 2.50-2.73
Sr: 0.7376 0.2500 0.5000  8 O 2.50-2.73
B: 0.6691 0.3733 0.8061  3 O 1.33-1.41
B: 0.6691 0.1267 0.1939  3 O 1.33-1.41
B: 0.8309 0.8733 0.6939  3 O 1.33-1.41
B: 0.8309 0.6267 0.3061  3 O 1.33-1.41
B: 0.1691 0.1267 0.3061  3 O 1.33-1.41
B: 0.1691 0.3733 0.6939  3 O 1.33-1.41
B: 0.3309 0.6267 0.1939  3 O 1.33-1.41
B: 0.3309 0.8733 0.8061  3 O 1.33-1.41
O: 0.2358 0.5944 0.0897  1 B 1.33
O: 0.7358 0.9056 0.5897  1 B 1.33
O: 0.7642 0.0944 0.0897  1 B 1.33
O: 0.7358 0.5944 0.4103  1 B 1.33
O: 0.8493 0.3520 0.7106  2 B 1.39-1.41
O: 0.8493 0.1480 0.2894  2 B 1.39-1.41
O: 0.6507 0.8520 0.7894  2 B 1.39-1.41
O: 0.6507 0.6480 0.2106  2 B 1.39-1.41
O: 0.1507 0.6480 0.2894  2 B 1.39-1.41
O: 0.1507 0.8520 0.7106  2 B 1.39-1.41
O: 0.3493 0.1480 0.2106  2 B 1.39-1.41
O: 0.3493 0.3520 0.7894  2 B 1.39-1.41
O: 0.2642 0.0944 0.4103  1 B 1.33
O: 0.2642 0.4056 0.5897  1 B 1.33
O: 0.7642 0.4056 0.9103  1 B 1.33
O: 0.2358 0.9056 0.9103  1 B 1.33

What is the least stable structure shown above? It is *2*.